w | 8
Lattice="3.066 0.000 0.000 0.000 8.002 0.000 0.000 0.000 5.709" Properties=species:S:1:pos:R:3 comment="GGA-PBE SnAsOsO, optimized geometry" vol_a3_per_atom=17.51 pbc="T T T"
Sn 0.000 0.701 0.000
Sn 0.000 7.301 2.854
As 0.000 2.543 2.735
As 0.000 5.458 5.589
Os 1.533 3.980 4.175
Os 1.533 4.022 1.320
O 1.533 2.498 5.614
O 1.533 5.504 2.760

---

x | 8
Lattice="4.187 0.000 0.000 0.000 4.187 0.000 0.000 0.000 8.346" Properties=species:S:1:pos:R:3 comment="GGA-PBE SnAsOsO, optimized geometry" vol_a3_per_atom=18.29 pbc="T T T"
Sn 1.047 3.140 0.000
Sn 3.140 1.047 0.000
As 1.047 1.047 2.241
As 3.140 3.140 6.105
Os 1.047 1.047 4.668
Os 3.140 3.140 3.678
O 1.047 3.140 4.173
O 3.140 1.047 4.173

---

y | 8
Lattice="3.783 0.000 0.000 0.000 8.590 0.000 0.000 0.000 4.845" Properties=species:S:1:pos:R:3 comment="GGA-PBE SnAsOsO, optimized geometry" vol_a3_per_atom=19.68 pbc="T T T"
Sn 0.000 0.734 0.000
Sn 0.000 7.856 2.422
As 1.891 2.554 4.726
As 1.891 6.036 2.303
Os 1.891 3.466 2.309
Os 1.891 5.123 4.732
O 0.000 3.400 2.307
O 0.000 5.189 4.729

---

From most stable to least stable, the computed energies give w, y, x.

---

w | 8
Lattice="4.046 0.000 0.000 0.000 4.046 0.000 0.000 0.000 8.853" Properties=species:S:1:pos:R:3 comment="GGA-PBE TlAsOsO, optimized geometry" vol_a3_per_atom=18.12 pbc="T T T"
Tl 1.012 1.012 1.093
Tl 3.035 3.035 7.760
As 1.012 1.012 5.895
As 3.035 3.035 2.958
Os 1.012 3.035 4.427
Os 3.035 1.012 4.427
O 1.012 3.035 0.000
O 3.035 1.012 0.000

---

x | 8
Lattice="4.135 0.000 0.000 0.000 4.135 0.000 0.000 0.000 8.690" Properties=species:S:1:pos:R:3 comment="GGA-PBE TlAsOsO, optimized geometry" vol_a3_per_atom=18.58 pbc="T T T"
Tl 1.034 3.101 0.000
Tl 3.101 1.034 0.000
As 1.034 1.034 2.586
As 3.101 3.101 6.104
Os 1.034 1.034 5.019
Os 3.101 3.101 3.671
O 1.034 3.101 4.345
O 3.101 1.034 4.345

---

y | 8
Lattice="3.723 0.000 0.000 0.000 7.743 0.000 0.000 0.000 5.990" Properties=species:S:1:pos:R:3 comment="GGA-PBE TlAsOsO, optimized geometry" vol_a3_per_atom=21.58 pbc="T T T"
Tl 0.000 0.597 0.000
Tl 0.000 7.146 2.995
As 1.861 2.822 4.733
As 1.861 4.921 1.739
Os 1.861 2.594 2.344
Os 1.861 5.149 5.339
O 0.000 2.452 2.227
O 0.000 5.291 5.222

---

From most stable to least stable, the computed energies give y, w, x.

---

w | 8
Lattice="4.318 0.000 0.000 0.000 4.581 0.000 0.000 0.000 6.464" Properties=species:S:1:pos:R:3 comment="GGA-PBE TmAsOsO, optimized geometry" vol_a3_per_atom=15.98 pbc="T T T"
Tm 0.000 1.025 0.000
Tm 0.000 3.555 3.232
As 2.159 0.719 4.466
As 2.159 3.862 1.234
Os 2.159 1.562 2.193
Os 2.159 3.019 5.425
O 0.000 1.739 2.045
O 0.000 2.841 5.277

---

x | 8
Lattice="4.122 0.000 0.000 0.000 5.931 0.000 0.000 0.000 5.689" Properties=species:S:1:pos:R:3 comment="GGA-PBE TmAsOsO, optimized geometry" vol_a3_per_atom=17.38 pbc="T T T"
Tm 0.000 1.147 0.000
Tm 0.000 4.784 2.844
As 0.000 1.836 2.735
As 0.000 4.095 5.580
Os 2.061 2.939 1.163
Os 2.061 2.992 4.007
O 2.061 1.398 5.342
O 2.061 4.533 2.498

---

y | 8
Lattice="4.290 0.000 0.000 0.000 4.290 0.000 0.000 0.000 6.688" Properties=species:S:1:pos:R:3 comment="GGA-PBE TmAsOsO, optimized geometry" vol_a3_per_atom=15.39 pbc="T T T"
Tm 1.073 3.218 0.000
Tm 3.218 1.073 0.000
As 1.073 1.073 1.888
As 3.218 3.218 4.800
Os 1.073 1.073 4.359
Os 3.218 3.218 2.329
O 1.073 3.218 3.344
O 3.218 1.073 3.344

---

z | 8
Lattice="4.036 0.000 0.000 0.000 4.036 0.000 0.000 0.000 7.859" Properties=species:S:1:pos:R:3 comment="GGA-PBE TmAsOsO, optimized geometry" vol_a3_per_atom=16.00 pbc="T T T"
Tm 1.009 1.009 0.996
Tm 3.027 3.027 6.863
As 1.009 1.009 5.323
As 3.027 3.027 2.536
Os 1.009 3.027 3.929
Os 3.027 1.009 3.929
O 1.009 3.027 0.000
O 3.027 1.009 0.000

---

From most stable to least stable, the computed energies give z, w, x, y.

---

w | 8
Lattice="4.127 0.000 0.000 0.000 4.127 0.000 0.000 0.000 6.853" Properties=species:S:1:pos:R:3 comment="GGA-PBE ZrAsOsO, optimized geometry" vol_a3_per_atom=14.59 pbc="T T T"
Zr 1.032 1.032 0.905
Zr 3.096 3.096 5.948
As 1.032 1.032 4.740
As 3.096 3.096 2.112
Os 1.032 3.096 3.426
Os 3.096 1.032 3.426
O 1.032 3.096 0.000
O 3.096 1.032 0.000

---

x | 8
Lattice="4.163 0.000 0.000 0.000 4.669 0.000 0.000 0.000 6.339" Properties=species:S:1:pos:R:3 comment="GGA-PBE ZrAsOsO, optimized geometry" vol_a3_per_atom=15.40 pbc="T T T"
Zr 0.000 1.040 0.000
Zr 0.000 3.629 3.170
As 2.081 0.664 4.437
As 2.081 4.005 1.267
Os 2.081 1.660 2.212
Os 2.081 3.010 5.382
O 0.000 1.896 1.953
O 0.000 2.773 5.122

---

From most stable to least stable, the computed energies give w, x.